No. 1
Computed, not measured: a relaxed CaTc2Ru crystal at the GGA-PBE level of DFT.

## Properties
energy above the most stable polymorph in this dataset: 97 meV/atom
total energy: -120.70 eV for the cell shown
formation enthalpy at 0 K: 0.46 eV per atom
spin magnetization: 0.00 Bohr magnetons per cell

Unit cell a=6.3690 b=6.3690 c=6.3690 alpha=90.00 beta=90.00 gamma=90.00
Space group F-43m (No. 216)
Symmetry-distinct sites (fractional):
1 Ca 0.0000 0.0000 0.0000 (multiplicity 4)
2 Tc 0.0000 0.0000 0.5000 (multiplicity 4)
3 Tc 0.2500 0.2500 0.7500 (multiplicity 4)
4 Ru 0.2500 0.2500 0.2500 (multiplicity 4)


No. 2
Computed, not measured: a relaxed CaNd7Y4 crystal at the GGA-PBE level of DFT.

## Properties
total energy: -61.02 eV for the cell shown
formation enthalpy at 0 K: 0.02 eV per atom
spin magnetization: 0.00 Bohr magnetons per cell

Unit cell a=6.3839 b=7.3727 c=9.0965 alpha=89.85 beta=76.58 gamma=89.95
Space group P-1 (No. 2)
Symmetry-distinct sites (fractional):
1 Ca 0.0000 0.0000 0.0000 (multiplicity 1)
2 Nd 0.0000 0.5000 0.0000 (multiplicity 1)
3 Nd 0.2248 0.9998 0.3407 (multiplicity 2)
4 Nd 0.2815 0.2535 0.6625 (multiplicity 2)
5 Nd 0.5004 0.2579 0.0003 (multiplicity 2)
6 Y 0.2206 0.4998 0.3329 (multiplicity 2)
7 Y 0.2816 0.7442 0.6636 (multiplicity 2)


No. 3
Computed, not measured: a relaxed NaAl3Hg3 crystal at the GGA-PBE level of DFT.

## Properties
total energy: -23.08 eV for the cell shown
formation enthalpy at 0 K: 0.27 eV per atom
spin magnetization: 0.00 Bohr magnetons per cell

Unit cell a=7.5110 b=7.5110 c=7.5110 alpha=90.00 beta=90.00 gamma=90.00
Space group Pm-3n (No. 223)
Symmetry-distinct sites (fractional):
1 Na 0.0000 0.0000 0.0000 (multiplicity 2)
2 Al 0.0000 0.2500 0.5000 (multiplicity 6)
3 Hg 0.0000 0.5000 0.2500 (multiplicity 6)


No. 4
Computed, not measured: a relaxed Tm3MgSc crystal at the GGA-PBE level of DFT.

## Properties
energy above the most stable polymorph in this dataset: 0 meV/atom
total energy: -85.37 eV for the cell shown
formation enthalpy at 0 K: 0.00 eV per atom
spin magnetization: 0.42 Bohr magnetons per cell

Unit cell a=20.7851 b=3.4411 c=8.0314 alpha=90.00 beta=105.73 gamma=90.00
Space group C2/m (No. 12)
Symmetry-distinct sites (fractional):
1 Tm 0.0848 0.0000 0.0874 (multiplicity 4)
2 Tm 0.1137 0.0000 0.5187 (multiplicity 4)
3 Tm 0.1851 0.5000 0.8875 (multiplicity 4)
4 Mg 0.0171 0.5000 0.7200 (multiplicity 4)
5 Sc 0.2183 0.5000 0.3250 (multiplicity 4)


No. 5
Computed, not measured: a relaxed ReOs crystal at the GGA-PBE level of DFT.

## Properties
energy above the most stable polymorph in this dataset: 624 meV/atom
total energy: -67.85 eV for the cell shown
formation enthalpy at 0 K: 0.53 eV per atom
spin magnetization: 0.90 Bohr magnetons per cell

Unit cell a=3.2747 b=3.2747 c=8.4036 alpha=90.00 beta=90.00 gamma=90.00
Space group P4mm (No. 99)
Symmetry-distinct sites (fractional):
1 Re 0.0000 0.0000 0.0000 (multiplicity 1)
2 Re 0.0000 0.0000 0.3376 (multiplicity 1)
3 Re 0.5000 0.5000 0.5058 (multiplicity 1)
4 Os 0.0000 0.0000 0.6699 (multiplicity 1)
5 Os 0.5000 0.5000 0.1690 (multiplicity 1)
6 Os 0.5000 0.5000 0.8391 (multiplicity 1)


No. 6
Computed, not measured: a relaxed TbVH2 crystal at the GGA-PBE level of DFT.

## Properties
total energy: -61.47 eV for the cell shown
spin magnetization: 0.17 Bohr magnetons per cell

Unit cell a=3.0810 b=3.0810 c=16.0875 alpha=90.00 beta=90.00 gamma=120.00
Space group R-3m (No. 166, hexagonal axes)
Symmetry-distinct sites (fractional):
1 Tb 0.0000 0.0000 0.0000 (multiplicity 3)
2 V 0.0000 0.0000 0.5000 (multiplicity 3)
3 H 0.0000 0.0000 0.2193 (multiplicity 6)


No. 7
Computed, not measured: a relaxed MgNpP2 crystal at the GGA-PBE level of DFT.

## Properties
energy above the most stable polymorph in this dataset: 51 meV/atom
total energy: -83.39 eV for the cell shown
formation enthalpy at 0 K: -0.61 eV per atom
spin magnetization: 8.98 Bohr magnetons per cell

Unit cell a=3.9234 b=3.9234 c=18.7852 alpha=90.00 beta=90.00 gamma=120.00
Space group R3m (No. 160, hexagonal axes)
Symmetry-distinct sites (fractional):
1 Mg 0.0000 0.0000 0.0000 (multiplicity 3)
2 Np 0.0000 0.0000 0.8259 (multiplicity 3)
3 P 0.0000 0.0000 0.2421 (multiplicity 3)
4 P 0.0000 0.0000 0.4116 (multiplicity 3)


No. 8
Computed, not measured: a relaxed RbHg2S2Cl crystal at the GGA-PBE level of DFT.

## Properties
total energy: -31.42 eV for the cell shown
spin magnetization: 0.00 Bohr magnetons per cell

Unit cell a=6.7050 b=6.7978 c=10.1316 alpha=90.00 beta=99.32 gamma=90.00
Space group P2_1/m (No. 11)
Symmetry-distinct sites (fractional):
1 Rb 0.1561 0.2500 0.1308 (multiplicity 2)
2 Hg 0.2541 0.0030 0.6482 (multiplicity 4)
3 S 0.2218 0.2500 0.4809 (multiplicity 2)
4 S 0.3258 0.7500 0.8104 (multiplicity 2)
5 Cl 0.0135 0.7500 0.1836 (multiplicity 2)